Version a
Computed, not measured: a geometry-optimized GeRu2Pb structure at the PBE-GGA level of DFT.

Summary:
M_tot	0.0	μB per formula unit

```
data_GeRu2Pb
_chemical_formula_sum 'Ge4 Ru8 Pb4'
_cell_length_a 6.410
_cell_length_b 6.410
_cell_length_c 6.410
_cell_angle_alpha 90.00
_cell_angle_beta 90.00
_cell_angle_gamma 90.00
_space_group_name_H-M_alt 'F m -3 m'
_space_group_IT_number 225
_space_group_name_Hall '-F 4 2 3'
loop_
_atom_site_label
_atom_site_fract_x
_atom_site_fract_y
_atom_site_fract_z
_atom_site_occupancy
Ge1 0.000 0.000 0.000 1
Ru1 0.250 0.250 0.250 1
Pb1 0.000 0.000 0.500 1
```


Version b
Computed, not measured: a geometry-optimized GeRu2Pb structure at the PBE-GGA level of DFT.

Summary:
M_tot	0.0	μB per formula unit

```
data_GeRu2Pb
_chemical_formula_sum 'Ge4 Ru8 Pb4'
_cell_length_a 6.058
_cell_length_b 6.058
_cell_length_c 10.426
_cell_angle_alpha 90.00
_cell_angle_beta 90.00
_cell_angle_gamma 90.00
_space_group_name_H-M_alt 'I -4 2 d'
_space_group_IT_number 122
_space_group_name_Hall 'I -4 2bw'
loop_
_atom_site_label
_atom_site_fract_x
_atom_site_fract_y
_atom_site_fract_z
_atom_site_occupancy
Ge1 0.000 0.000 0.000 1
Ru1 0.209 0.250 0.125 1
Pb1 0.000 0.000 0.500 1
```


Most stable structure, least stable structure: version a, version b.